Pm3Ga3Au | PBE | optimized geometry

Geometry as POSCAR:
```
Pm3Ga3Au
1.0
5.477 -2.252 0.000
5.477 2.252 0.000
-5.246 0.000 13.818
Pm Ga Au
6 6 2
Cartesian
-1.560 0.000 5.262 Pm
-3.690 0.000 12.795 Pm
1.438 0.000 3.160 Pm
4.271 0.000 10.659 Pm
9.399 0.000 1.023 Pm
7.269 0.000 8.556 Pm
1.663 0.000 6.358 Ga
-0.541 0.000 12.762 Ga
1.118 0.000 10.694 Ga
4.591 0.000 3.125 Ga
6.250 0.000 1.056 Ga
4.046 0.000 7.460 Ga
-0.463 0.000 8.443 Au
6.172 0.000 5.375 Au
```

- E_form: -457.4 kJ/mol of formula units
- Uncorrected energy: -62.7 eV/cell
- M_tot: 0.000 Bohr magnetons per cell